# PBE-GGA AcMn4S8, relaxed
data_AcMn4S8
_chemical_formula_sum 'Ac3 Mn12 S24'
_symmetry_space_group_name_H-M 'R -3 m'
_symmetry_Int_Tables_number 166
_symmetry_space_group_name_Hall '-R 3 2"'
_cell_length_a 6.7659
_cell_length_b 6.7659
_cell_length_c 20.5770
_cell_angle_alpha 90.00
_cell_angle_beta 90.00
_cell_angle_gamma 120.00
loop_
_atom_site_label
_atom_site_fract_x
_atom_site_fract_y
_atom_site_fract_z
_atom_site_occupancy
Ac1 0.0000 0.0000 0.0000 1
Mn1 0.0000 0.0000 0.5000 1
Mn2 0.0000 0.5000 0.5000 1
S1 0.0000 0.0000 0.2298 1
S2 0.0061 0.5031 0.2292 1
# energy relative to the elements, uncorrected = -827 meV per atom
# total magnetic moment = 9.06 μB per formula unit
# energy = -6.504 eV/atom


# PBE-GGA Ac3NdCd4, relaxed
data_Ac3NdCd4
_chemical_formula_sum 'Ac3 Nd1 Cd4'
_symmetry_space_group_name_H-M 'P 4/m m m'
_symmetry_Int_Tables_number 123
_symmetry_space_group_name_Hall '-P 4 2'
_cell_length_a 4.023
_cell_length_b 4.023
_cell_length_c 16.092
_cell_angle_alpha 90.00
_cell_angle_beta 90.00
_cell_angle_gamma 90.00
loop_
_atom_site_label
_atom_site_fract_x
_atom_site_fract_y
_atom_site_fract_z
_atom_site_occupancy
Ac1 0.000 0.000 0.000 1
Ac2 0.000 0.000 0.258 1
Nd1 0.000 0.000 0.500 1
Cd1 0.500 0.500 0.128 1
Cd2 0.500 0.500 0.391 1
# energy relative to the elements = -0.29 eV per atom
# total magnetic moment = 0.03 μB per formula unit
# energy = -2.888 eV/atom


# PBE-GGA La8Pm2Er3, relaxed
data_La8Pm2Er3
_chemical_formula_sum 'La16 Pm4 Er6'
_symmetry_space_group_name_H-M 'C 1 2/m 1'
_symmetry_Int_Tables_number 12
_cell_length_a 20.782
_cell_length_b 7.748
_cell_length_c 5.812
_cell_angle_alpha 90.00
_cell_angle_beta 90.04
_cell_angle_gamma 90.00
loop_
_symmetry_equiv_pos_as_xyz
'x,y,z'
'-x,-y,-z'
'-x,y,-z'
'x,-y,z'
'x+1/2,y+1/2,z'
'-x+1/2,-y+1/2,-z'
'-x+1/2,y+1/2,-z'
'x+1/2,-y+1/2,z'
loop_
_atom_site_label
_atom_site_fract_x
_atom_site_fract_y
_atom_site_fract_z
_atom_site_occupancy
La1 0.103 0.199 0.000 1
La2 0.130 0.500 0.499 1
La3 0.174 0.000 0.501 1
Pm1 0.240 0.500 0.998 1
Er1 0.000 0.218 0.500 1
Er2 0.000 0.500 0.000 1
# energy relative to the elements = 0.17 eV per atom
# total magnetic moment = 0.00 μB per formula unit
# energy = -4.643 eV/atom


# PBE-GGA Pm6NdY3Ho2, relaxed
data_Pm6NdY3Ho2
_chemical_formula_sum 'Pm12 Nd2 Y6 Ho4'
_symmetry_space_group_name_H-M 'C 1 2/m 1'
_symmetry_Int_Tables_number 12
_cell_length_a 6.268
_cell_length_b 10.854
_cell_length_c 11.918
_cell_angle_alpha 90.00
_cell_angle_beta 100.07
_cell_angle_gamma 90.00
loop_
_symmetry_equiv_pos_as_xyz
'x,y,z'
'-x,-y,-z'
'-x,y,-z'
'x,-y,z'
'x+1/2,y+1/2,z'
'-x+1/2,-y+1/2,-z'
'-x+1/2,y+1/2,-z'
'x+1/2,-y+1/2,z'
loop_
_atom_site_label
_atom_site_fract_x
_atom_site_fract_y
_atom_site_fract_z
_atom_site_occupancy
Pm1 0.249 0.167 0.250 1
Pm2 0.250 0.000 0.750 1
Nd1 0.000 0.500 0.500 1
Y1 0.000 0.000 0.000 1
Y2 0.000 0.333 0.000 1
Ho1 0.000 0.167 0.500 1
# energy relative to the elements = 0.01 eV per atom
# total magnetic moment = 0.00 μB per formula unit
# energy = -5.139 eV/atom


# PBE-GGA Ca2Se, relaxed
data_Ca2Se
_chemical_formula_sum 'Ca8 Se4'
_symmetry_space_group_name_H-M 'C m c m'
_symmetry_Int_Tables_number 63
_symmetry_space_group_name_Hall '-C 2c 2'
_cell_length_a 3.779
_cell_length_b 17.010
_cell_length_c 5.631
_cell_angle_alpha 90.00
_cell_angle_beta 90.00
_cell_angle_gamma 90.00
loop_
_atom_site_label
_atom_site_fract_x
_atom_site_fract_y
_atom_site_fract_z
_atom_site_occupancy
Ca1 0.000 0.069 0.250 1
Ca2 0.000 0.205 0.750 1
Se1 0.000 0.430 0.250 1
# energy relative to the elements, uncorrected = -1084 meV per atom
# total magnetic moment = 0.00 μB per formula unit
# energy = -3.580 eV/atom


# PBE-GGA CeThZnIr, relaxed
data_CeThZnIr
_chemical_formula_sum 'Ce4 Th4 Zn4 Ir4'
_symmetry_space_group_name_H-M 'F -4 3 m'
_symmetry_Int_Tables_number 216
_symmetry_space_group_name_Hall 'F -4 2 3'
_cell_length_a 7.163
_cell_length_b 7.163
_cell_length_c 7.163
_cell_angle_alpha 90.00
_cell_angle_beta 90.00
_cell_angle_gamma 90.00
loop_
_atom_site_label
_atom_site_fract_x
_atom_site_fract_y
_atom_site_fract_z
_atom_site_occupancy
Ce1 0.000 0.000 0.000 1
Th1 0.000 0.000 0.500 1
Zn1 0.250 0.250 0.750 1
Ir1 0.250 0.250 0.250 1
# energy relative to the elements = -0.43 eV per atom
# total magnetic moment = 0.70 μB per formula unit
# energy = -6.303 eV/atom


# PBE-GGA TbNdDyY, relaxed
data_TbNdDyY
_chemical_formula_sum 'Tb2 Nd2 Dy2 Y2'
_symmetry_space_group_name_H-M 'I -4 m 2'
_symmetry_Int_Tables_number 119
_symmetry_space_group_name_Hall 'I -4 -2'
_cell_length_a 5.086
_cell_length_b 5.086
_cell_length_c 10.114
_cell_angle_alpha 90.00
_cell_angle_beta 90.00
_cell_angle_gamma 90.00
loop_
_atom_site_label
_atom_site_fract_x
_atom_site_fract_y
_atom_site_fract_z
_atom_site_occupancy
Tb1 0.000 0.000 0.000 1
Nd1 0.000 0.500 0.750 1
Dy1 0.000 0.000 0.500 1
Y1 0.000 0.500 0.250 1
# energy relative to the elements = 0.02 eV per atom
# total magnetic moment = 0.00 μB per formula unit
# energy = -5.097 eV/atom


# PBE-GGA PmDyCoRh, relaxed
data_PmDyCoRh
_chemical_formula_sum 'Pm4 Dy4 Co4 Rh4'
_symmetry_space_group_name_H-M 'F -4 3 m'
_symmetry_Int_Tables_number 216
_symmetry_space_group_name_Hall 'F -4 2 3'
_cell_length_a 6.876
_cell_length_b 6.876
_cell_length_c 6.876
_cell_angle_alpha 90.00
_cell_angle_beta 90.00
_cell_angle_gamma 90.00
loop_
_atom_site_label
_atom_site_fract_x
_atom_site_fract_y
_atom_site_fract_z
_atom_site_occupancy
Pm1 0.000 0.000 0.000 1
Dy1 0.000 0.000 0.500 1
Co1 0.250 0.250 0.750 1
Rh1 0.250 0.250 0.250 1
# energy relative to the elements = -0.41 eV per atom
# total magnetic moment = 0.62 μB per formula unit
# energy = -6.358 eV/atom


# PBE-GGA La3CdPb3, relaxed
data_La3CdPb3
_chemical_formula_sum 'La12 Cd4 Pb12'
_symmetry_space_group_name_H-M 'C 1 2/m 1'
_symmetry_Int_Tables_number 12
_cell_length_a 12.293
_cell_length_b 4.845
_cell_length_c 15.828
_cell_angle_alpha 90.00
_cell_angle_beta 108.08
_cell_angle_gamma 90.00
loop_
_symmetry_equiv_pos_as_xyz
'x,y,z'
'-x,-y,-z'
'-x,y,-z'
'x,-y,z'
'x+1/2,y+1/2,z'
'-x+1/2,-y+1/2,-z'
'-x+1/2,y+1/2,-z'
'x+1/2,-y+1/2,z'
loop_
_atom_site_label
_atom_site_fract_x
_atom_site_fract_y
_atom_site_fract_z
_atom_site_occupancy
La1 0.022 0.000 0.380 1
La2 0.098 0.000 0.922 1
La3 0.231 0.000 0.226 1
Cd1 0.224 0.500 0.383 1
Pb1 0.006 0.500 0.228 1
Pb2 0.128 0.500 0.075 1
Pb3 0.140 0.500 0.548 1
# energy relative to the elements = -0.53 eV per atom
# total magnetic moment = 0.21 μB per formula unit
# energy = -4.365 eV/atom


# PBE-GGA P2OsNCl, relaxed
data_P2OsNCl
_chemical_formula_sum 'P2 Os1 N1 Cl1'
_symmetry_space_group_name_H-M 'P 4/m m m'
_symmetry_Int_Tables_number 123
_symmetry_space_group_name_Hall '-P 4 2'
_cell_length_a 3.919
_cell_length_b 3.919
_cell_length_c 4.207
_cell_angle_alpha 90.00
_cell_angle_beta 90.00
_cell_angle_gamma 90.00
loop_
_atom_site_label
_atom_site_fract_x
_atom_site_fract_y
_atom_site_fract_z
_atom_site_occupancy
P1 0.000 0.500 0.000 1
Os1 0.000 0.000 0.500 1
N1 0.500 0.500 0.000 1
Cl1 0.500 0.500 0.500 1
# energy relative to the elements, uncorrected = 1395 meV per atom
# total magnetic moment = 0.00 μB per formula unit
# energy = -5.050 eV/atom


# PBE-GGA SmDyAu2, relaxed
data_SmDyAu2
_chemical_formula_sum 'Sm2 Dy2 Au4'
_symmetry_space_group_name_H-M 'A m m 2'
_symmetry_Int_Tables_number 38
_cell_length_a 4.730
_cell_length_b 3.772
_cell_length_c 11.121
_cell_angle_alpha 90.00
_cell_angle_beta 90.00
_cell_angle_gamma 90.00
loop_
_symmetry_equiv_pos_as_xyz
'x,y,z'
'-x,-y,z'
'-x,y,z'
'x,-y,z'
'x,y+1/2,z+1/2'
'-x,-y+1/2,z+1/2'
'-x,y+1/2,z+1/2'
'x,-y+1/2,z+1/2'
loop_
_atom_site_label
_atom_site_fract_x
_atom_site_fract_y
_atom_site_fract_z
_atom_site_occupancy
Sm1 0.000 0.000 0.000 1
Dy1 0.500 0.000 0.277 1
Au1 0.000 0.000 0.728 1
Au2 0.500 0.000 0.552 1
# energy relative to the elements = -0.85 eV per atom
# total magnetic moment = 0.00 μB per formula unit
# energy = -4.823 eV/atom


# PBE-GGA CdPHC2, relaxed
data_CdPHC2
_chemical_formula_sum 'Cd1 P1 H1 C2'
_symmetry_space_group_name_H-M 'P 4/m m m'
_symmetry_Int_Tables_number 123
_symmetry_space_group_name_Hall '-P 4 2'
_cell_length_a 4.339
_cell_length_b 4.339
_cell_length_c 3.366
_cell_angle_alpha 90.00
_cell_angle_beta 90.00
_cell_angle_gamma 90.00
loop_
_atom_site_label
_atom_site_fract_x
_atom_site_fract_y
_atom_site_fract_z
_atom_site_occupancy
Cd1 0.000 0.000 0.000 1
P1 0.500 0.500 0.500 1
H1 0.000 0.000 0.500 1
C1 0.000 0.500 0.000 1
# total magnetic moment = 0.00 μB per formula unit
# energy = -3.197 eV/atom